Entry 1:
Density functional theory data (PBE) for a relaxed Si2MoCl crystal.

It has space group Pmmm (No. 47), with a = 2.827 Å, b = 4.565 Å, c = 4.755 Å, α = 90.00°, β = 90.00° and γ = 90.00°. The asymmetric unit holds Si at (0.000, 0.000, 0.000), Si at (0.500, 0.500, 0.000), Mo at (0.000, 0.500, 0.500) and Cl at (0.500, 0.000, 0.500).

As for the electronic total energy: -0.38841 Ry per atom. The value obtained for the density is 5.08 g/cm3. The calculation puts the energy above the most stable polymorph in this dataset at 12.11 kcal/mol of atoms.

Entry 2:
Density functional theory data (PBE) for a relaxed SiMoCl crystal.

It has space group I-4m2 (No. 119), with a = 3.200 Å, b = 3.200 Å, c = 22.119 Å, α = 90.00°, β = 90.00° and γ = 90.00°. The asymmetric unit holds Si at (0.000, 0.000, 0.220), Mo at (0.000, 0.000, 0.337) and Cl at (0.000, 0.500, 0.580).

As for the electronic total energy: -0.47837 Ry per atom. The value obtained for the density is 4.68 g/cm3. The calculation puts the energy above the most stable polymorph in this dataset at 0.15 kcal/mol of atoms.

Entry 3:
Density functional theory data (PBE) for a relaxed Si2MoCl crystal.

It has space group R-3m (No. 166, hexagonal axes), with a = 3.1609 Å, b = 3.1609 Å, c = 22.9258 Å, α = 90.00°, β = 90.00° and γ = 120.00°. The asymmetric unit holds Si at (0.0000, 0.0000, 0.2418), Mo at (0.0000, 0.0000, 0.5000) and Cl at (0.0000, 0.0000, 0.0000).

As for the electronic total energy: -0.42268 Ry per atom. The value obtained for the density is 4.71 g/cm3. The calculation puts the energy above the most stable polymorph in this dataset at 1.36 kcal/mol of atoms.

Entry 4:
Density functional theory data (PBE) for a relaxed Si3MoCl crystal.

It has space group Pm-3m (No. 221), with a = 4.771 Å, b = 4.771 Å, c = 4.771 Å, α = 90.00°, β = 90.00° and γ = 90.00°. The asymmetric unit holds Si at (0.000, 0.000, 0.500), Mo at (0.000, 0.000, 0.000) and Cl at (0.500, 0.500, 0.500).

As for the electronic total energy: -0.40006 Ry per atom. The value obtained for the density is 3.30 g/cm3. The calculation puts the energy above the most stable polymorph in this dataset at 0.00 kcal/mol of atoms.

Entry 5:
Density functional theory data (PBE) for a relaxed SiMoCl crystal.

It has space group I4mm (No. 107), with a = 2.886 Å, b = 2.886 Å, c = 13.602 Å, α = 90.00°, β = 90.00° and γ = 90.00°. The asymmetric unit holds Si at (0.000, 0.000, 0.000), Mo at (0.000, 0.000, 0.364) and Cl at (0.000, 0.000, 0.748).

As for the electronic total energy: -0.42324 Ry per atom. The value obtained for the density is 4.67 g/cm3. The calculation puts the energy above the most stable polymorph in this dataset at 17.45 kcal/mol of atoms.

Entry 6:
Density functional theory data (PBE) for a relaxed Si2MoCl crystal.

It has space group Cmm2 (No. 35), with a = 3.137 Å, b = 5.125 Å, c = 9.377 Å, α = 90.00°, β = 90.00° and γ = 90.00°. The asymmetric unit holds Si at (0.000, 0.000, 0.000), Si at (0.000, 0.500, 0.198), Mo at (0.000, 0.500, 0.789) and Cl at (0.000, 0.000, 0.588).

As for the electronic total energy: -0.40611 Ry per atom. The value obtained for the density is 4.13 g/cm3. The calculation puts the energy above the most stable polymorph in this dataset at 6.56 kcal/mol of atoms.

Entry 7:
Density functional theory data (PBE) for a relaxed Si2MoCl crystal.

It has space group Pm (No. 6), with a = 3.714 Å, b = 4.249 Å, c = 4.808 Å, α = 90.00°, β = 106.77° and γ = 90.00°. The asymmetric unit holds Si at (0.000, 0.000, 0.000), Si at (0.419, 0.500, 0.899), Mo at (0.372, 0.000, 0.647) and Cl at (0.583, 0.500, 0.377).

As for the electronic total energy: -0.41412 Ry per atom. The value obtained for the density is 4.29 g/cm3. The calculation puts the energy above the most stable polymorph in this dataset at 4.05 kcal/mol of atoms.

Entry 8:
Density functional theory data (PBE) for a relaxed Si2MoCl crystal.

It has space group P4/mmm (No. 123), with a = 3.202 Å, b = 3.202 Å, c = 6.661 Å, α = 90.00°, β = 90.00° and γ = 90.00°. The asymmetric unit holds Si at (0.000, 0.000, 0.191), Mo at (0.500, 0.500, 0.000) and Cl at (0.500, 0.500, 0.500).

As for the electronic total energy: -0.41914 Ry per atom. The value obtained for the density is 4.56 g/cm3. The calculation puts the energy above the most stable polymorph in this dataset at 2.47 kcal/mol of atoms.

Entry 9:
Density functional theory data (PBE) for a relaxed SiMoCl crystal.

It has space group P-6m2 (No. 187), with a = 4.3561 Å, b = 4.3561 Å, c = 2.8411 Å, α = 90.00°, β = 90.00° and γ = 120.00°. The asymmetric unit holds Si at (0.0000, 0.0000, 0.0000), Mo at (0.3333, 0.6667, 0.5000) and Cl at (0.6667, 0.3333, 0.5000).

As for the electronic total energy: -0.41508 Ry per atom. The value obtained for the density is 5.67 g/cm3. The calculation puts the energy above the most stable polymorph in this dataset at 20.01 kcal/mol of atoms.

Entry 10:
Density functional theory data (PBE) for a relaxed Si2MoCl crystal.

It has space group Imm2 (No. 44), with a = 2.721 Å, b = 4.921 Å, c = 10.178 Å, α = 90.00°, β = 90.00° and γ = 90.00°. The asymmetric unit holds Si at (0.000, 0.000, 0.000), Si at (0.000, 0.500, 0.257), Mo at (0.000, 0.000, 0.545) and Cl at (0.000, 0.500, 0.836).

As for the electronic total energy: -0.40781 Ry per atom. The value obtained for the density is 4.57 g/cm3. The calculation puts the energy above the most stable polymorph in this dataset at 6.03 kcal/mol of atoms.

Entry 11:
Density functional theory data (PBE) for a relaxed Si2MoCl crystal.

It has space group Fm-3m (No. 225), with a = 6.350 Å, b = 6.350 Å, c = 6.350 Å, α = 90.00°, β = 90.00° and γ = 90.00°. The asymmetric unit holds Si at (0.250, 0.250, 0.250), Mo at (0.000, 0.000, 0.000) and Cl at (0.000, 0.000, 0.500).

As for the electronic total energy: -0.36378 Ry per atom. The value obtained for the density is 4.87 g/cm3. The calculation puts the energy above the most stable polymorph in this dataset at 19.84 kcal/mol of atoms.

Entry 12:
Density functional theory data (PBE) for a relaxed SiMoCl crystal.

It has space group P-1 (No. 2), with a = 3.139 Å, b = 4.367 Å, c = 10.019 Å, α = 92.89°, β = 90.29° and γ = 111.06°. The asymmetric unit holds Si at (0.143, 0.287, 0.449), Mo at (0.418, 0.840, 0.353) and Cl at (0.133, 0.255, 0.834).

As for the electronic total energy: -0.47403 Ry per atom. The value obtained for the density is 4.14 g/cm3. The calculation puts the energy above the most stable polymorph in this dataset at 1.52 kcal/mol of atoms.